Record 1
! AcPuRuN3 | Alexandria | PBE-GGA | optimized geometry; values from VASP
! **Uncorrected energy**: -9.4534 eV/atom
&SYSTEM
  ibrav = 0, nat = 12, ntyp = 4
/
ATOMIC_SPECIES
Ac 227.00 Ac.upf
Pu 244.00 Pu.upf
Ru 101.07 Ru.upf
N 14.01 N.upf
CELL_PARAMETERS angstrom
7.479 0.000 0.000
0.000 3.499 0.000
-1.653 0.000 7.635
ATOMIC_POSITIONS crystal
Ac 0.183 0.250 0.204
Ac 0.817 0.750 0.796
Pu 0.347 0.750 0.838
Pu 0.653 0.250 0.162
Ru 0.099 0.250 0.589
Ru 0.901 0.750 0.411
N 0.135 0.250 0.860
N 0.187 0.750 0.483
N 0.435 0.750 0.127
N 0.565 0.250 0.873
N 0.813 0.250 0.517
N 0.865 0.750 0.140

***

Record 2
! Ac2PuRuN4 | Alexandria | PBE-GGA | optimized geometry; values from VASP
! **Uncorrected energy**: -8.7082 eV/atom
&SYSTEM
  ibrav = 0, nat = 16, ntyp = 4
/
ATOMIC_SPECIES
Ac 227.00 Ac.upf
Pu 244.00 Pu.upf
Ru 101.07 Ru.upf
N 14.01 N.upf
CELL_PARAMETERS angstrom
1.728 -6.011 0.000
1.728 6.011 0.000
0.000 0.000 12.802
ATOMIC_POSITIONS crystal
Ac 0.134 0.866 0.553
Ac 0.134 0.866 0.947
Ac 0.866 0.134 0.053
Ac 0.866 0.134 0.447
Pu 0.393 0.607 0.750
Pu 0.607 0.393 0.250
Ru 0.343 0.657 0.250
Ru 0.657 0.343 0.750
N 0.046 0.954 0.750
N 0.206 0.794 0.152
N 0.206 0.794 0.348
N 0.500 0.500 0.000
N 0.500 0.500 0.500
N 0.794 0.206 0.652
N 0.794 0.206 0.848
N 0.954 0.046 0.250

***

Record 3
! AcPuS2N | Alexandria | PBE-GGA | optimized geometry; values from VASP
! **Uncorrected energy**: -8.6095 eV/atom
&SYSTEM
  ibrav = 0, nat = 10, ntyp = 4
/
ATOMIC_SPECIES
Ac 227.00 Ac.upf
Pu 244.00 Pu.upf
S 32.06 S.upf
N 14.01 N.upf
CELL_PARAMETERS angstrom
3.998 0.000 0.000
0.000 3.998 0.000
0.000 0.000 14.720
ATOMIC_POSITIONS crystal
Ac 0.250 0.250 0.136
Ac 0.750 0.750 0.864
Pu 0.250 0.250 0.573
Pu 0.750 0.750 0.427
S 0.250 0.250 0.326
S 0.250 0.250 0.915
S 0.750 0.750 0.085
S 0.750 0.750 0.674
N 0.250 0.750 0.500
N 0.750 0.250 0.500

***

Record 4
! Ac2PuSe2N2 | Alexandria | PBE-GGA | optimized geometry; values from VASP
! **Uncorrected energy**: -8.2177 eV/atom
&SYSTEM
  ibrav = 0, nat = 7, ntyp = 4
/
ATOMIC_SPECIES
Ac 227.00 Ac.upf
Pu 244.00 Pu.upf
Se 78.96 Se.upf
N 14.01 N.upf
CELL_PARAMETERS angstrom
-2.221 2.221 8.077
2.221 -2.221 8.077
2.221 2.221 -8.077
ATOMIC_POSITIONS crystal
Ac 0.119 0.119 0.000
Ac 0.881 0.881 0.000
Pu 0.500 0.500 0.000
Se 0.320 0.320 0.000
Se 0.680 0.680 0.000
N 0.000 0.500 0.500
N 0.500 0.000 0.500

***

Record 5
! AcPuSe2N | Alexandria | PBE-GGA | optimized geometry; values from VASP
! **Uncorrected energy**: -8.2474 eV/atom
&SYSTEM
  ibrav = 0, nat = 10, ntyp = 4
/
ATOMIC_SPECIES
Ac 227.00 Ac.upf
Pu 244.00 Pu.upf
Se 78.96 Se.upf
N 14.01 N.upf
CELL_PARAMETERS angstrom
4.086 0.000 0.000
0.000 4.086 0.000
0.000 0.000 15.474
ATOMIC_POSITIONS crystal
Ac 0.250 0.250 0.141
Ac 0.750 0.750 0.859
Pu 0.250 0.250 0.567
Pu 0.750 0.750 0.433
Se 0.250 0.250 0.331
Se 0.250 0.250 0.918
Se 0.750 0.750 0.082
Se 0.750 0.750 0.669
N 0.250 0.750 0.500
N 0.750 0.250 0.500

***

Record 6
! Ac2PuSi2N6 | Alexandria | PBE-GGA | optimized geometry; values from VASP
! **Uncorrected energy**: -8.5932 eV/atom
&SYSTEM
  ibrav = 0, nat = 11, ntyp = 4
/
ATOMIC_SPECIES
Ac 227.00 Ac.upf
Pu 244.00 Pu.upf
Si 28.09 Si.upf
N 14.01 N.upf
CELL_PARAMETERS angstrom
2.910 1.680 5.885
-2.910 1.680 5.885
0.000 -3.361 5.885
ATOMIC_POSITIONS crystal
Ac 0.210 0.210 0.210
Ac 0.790 0.790 0.790
Pu 0.000 0.000 0.000
Si 0.422 0.422 0.422
Si 0.578 0.578 0.578
N 0.246 0.745 0.745
N 0.255 0.255 0.754
N 0.255 0.754 0.255
N 0.745 0.246 0.745
N 0.745 0.745 0.246
N 0.754 0.255 0.255

***

Record 7
! AcSmPuN3 | Alexandria | PBE-GGA | optimized geometry; values from VASP
! **Uncorrected energy**: -8.9037 eV/atom
&SYSTEM
  ibrav = 0, nat = 12, ntyp = 4
/
ATOMIC_SPECIES
Ac 227.00 Ac.upf
Sm 150.36 Sm.upf
Pu 244.00 Pu.upf
N 14.01 N.upf
CELL_PARAMETERS angstrom
7.794 0.000 0.000
0.000 3.697 0.000
-1.342 0.000 8.339
ATOMIC_POSITIONS crystal
Ac 0.177 0.250 0.157
Ac 0.823 0.750 0.843
Sm 0.374 0.750 0.841
Sm 0.626 0.250 0.159
Pu 0.069 0.250 0.587
Pu 0.931 0.750 0.413
N 0.114 0.250 0.845
N 0.216 0.750 0.569
N 0.401 0.750 0.126
N 0.599 0.250 0.874
N 0.784 0.250 0.431
N 0.886 0.750 0.155

***

Record 8
! AcSm2PuN4 | Alexandria | PBE-GGA | optimized geometry; values from VASP
! **Uncorrected energy**: -8.8831 eV/atom
&SYSTEM
  ibrav = 0, nat = 8, ntyp = 4
/
ATOMIC_SPECIES
Ac 227.00 Ac.upf
Sm 150.36 Sm.upf
Pu 244.00 Pu.upf
N 14.01 N.upf
CELL_PARAMETERS angstrom
6.293 0.000 0.000
0.000 3.640 0.000
-2.085 0.000 5.969
ATOMIC_POSITIONS crystal
Ac 0.000 0.000 0.000
Sm 0.500 0.000 0.500
Sm 0.500 0.500 0.000
Pu 0.000 0.500 0.500
N 0.245 0.000 0.731
N 0.254 0.500 0.273
N 0.746 0.500 0.727
N 0.755 0.000 0.269

***

Record 9
! SrAcPu4N8 | Alexandria | PBE-GGA | optimized geometry; values from VASP
! **Uncorrected energy**: -10.2131 eV/atom
&SYSTEM
  ibrav = 0, nat = 14, ntyp = 4
/
ATOMIC_SPECIES
Sr 87.62 Sr.upf
Ac 227.00 Ac.upf
Pu 244.00 Pu.upf
N 14.01 N.upf
CELL_PARAMETERS angstrom
3.466 2.001 5.784
-3.466 2.001 5.784
0.000 -4.003 5.784
ATOMIC_POSITIONS crystal
Sr 0.000 0.000 0.000
Ac 0.616 0.616 0.616
Pu 0.382 0.382 0.382
Pu 0.501 0.998 0.998
Pu 0.998 0.501 0.998
Pu 0.998 0.998 0.501
N 0.182 0.751 0.751
N 0.236 0.236 0.236
N 0.259 0.259 0.783
N 0.259 0.783 0.259
N 0.751 0.182 0.751
N 0.751 0.751 0.182
N 0.769 0.769 0.769
N 0.783 0.259 0.259

***

Record 10
! SrAc2PuN4 | Alexandria | PBE-GGA | optimized geometry; values from VASP
! **Uncorrected energy**: -8.0357 eV/atom
&SYSTEM
  ibrav = 0, nat = 16, ntyp = 4
/
ATOMIC_SPECIES
Sr 87.62 Sr.upf
Ac 227.00 Ac.upf
Pu 244.00 Pu.upf
N 14.01 N.upf
CELL_PARAMETERS angstrom
1.908 -6.528 0.000
1.908 6.528 0.000
0.000 0.000 13.345
ATOMIC_POSITIONS crystal
Sr 0.106 0.894 0.750
Sr 0.894 0.106 0.250
Ac 0.372 0.628 0.535
Ac 0.372 0.628 0.965
Ac 0.628 0.372 0.035
Ac 0.628 0.372 0.465
Pu 0.163 0.837 0.250
Pu 0.837 0.163 0.750
N 0.000 0.000 0.000
N 0.000 0.000 0.500
N 0.267 0.733 0.128
N 0.267 0.733 0.372
N 0.430 0.570 0.750
N 0.570 0.430 0.250
N 0.733 0.267 0.628
N 0.733 0.267 0.872